Pm2RhBr (PBE-GGA, relaxed); D(E_F) = 0.88 states/eV/cell; energy relative to the elements, uncorrected = -1083 meV per atom; energy relative to the lowest polymorph listed for this composition = 0 meV/atom; symmetry = R-3m (166); M_tot = 0.00 Bohr magnetons per cell
1.0
2.047 1.182 7.798
-2.047 1.182 7.798
0.000 -2.363 7.798
Pm Rh Br
2 1 1
direct
0.232 0.232 0.232 Pm
0.768 0.768 0.768 Pm
0.500 0.500 0.500 Rh
0.000 0.000 0.000 Br

=====

Pt2Se (PBE-GGA, relaxed); D(E_F) = 2.91 states/eV/cell; energy relative to the elements, uncorrected = 84 meV per atom; energy relative to the lowest polymorph listed for this composition = 162 meV/atom; symmetry = Pnnm (58); M_tot = 0.00 Bohr magnetons per cell
1.0
3.877 0.000 0.000
0.000 7.607 0.000
0.000 0.000 3.531
Pt Se
4 2
direct
0.146 0.176 0.000 Pt
0.354 0.676 0.500 Pt
0.646 0.324 0.500 Pt
0.854 0.824 0.000 Pt
0.000 0.500 0.000 Se
0.500 0.000 0.500 Se

=====

SmHoPd4 (PBE-GGA, relaxed); D(E_F) = 2.49 states/eV/cell; E_form = -0.588 eV per atom; energy relative to the lowest polymorph listed for this composition = 289 meV/atom; symmetry = P4/mmm (123); M_tot = 0.00 Bohr magnetons per cell
1.0
3.946 0.000 0.000
0.000 3.946 0.000
0.000 0.000 8.556
Sm Ho Pd
1 1 4
direct
0.000 0.000 0.000 Sm
0.500 0.500 0.500 Ho
0.000 0.500 0.255 Pd
0.000 0.500 0.745 Pd
0.500 0.000 0.255 Pd
0.500 0.000 0.745 Pd

=====

InOs4W (PBE-GGA, relaxed); D(E_F) = 7.30 states/eV/cell; E_form = 0.645 eV per atom; symmetry = F-43m (216); M_tot = 0.00 Bohr magnetons per cell
1.0
0.000 3.660 3.660
3.660 0.000 3.660
3.660 3.660 0.000
In Os W
1 4 1
direct
0.000 0.000 0.000 In
0.124 0.625 0.625 Os
0.625 0.124 0.625 Os
0.625 0.625 0.124 Os
0.625 0.625 0.625 Os
0.250 0.250 0.250 W